## K3SrAs (PBE-GGA)

Data for a relaxed K3SrAs crystal.

Properties
Symmetry: Pm-3m, No. 221
Formation energy from the elements in eV/atom: -0.030
DOS at the Fermi energy in states/eV/atom: 0.00

Lattice parameters (Å, degrees): 6.5259 6.5259 6.5259 90.00 90.00 90.00
Last column: nearest neighbours and their distance in Å.
Fractional coordinates of all 5 atoms:
K  0.5000  0.0000  0.0000  2 As 3.26
K  0.0000  0.0000  0.5000  2 As 3.26
K  0.0000  0.5000  0.0000  2 As 3.26
As  0.0000  0.0000  0.0000  6 K 3.26
Sr  0.5000  0.5000  0.5000  12 K 4.61